# AcSb2Rh4 (PBE-GGA, relaxed)
# Uncorrected energy = -6.52 eV per atom
# N(E_F) = 13.0 states/eV per cell
# Formation energy from raw total energies = -554 meV/atom
data_AcSb2Rh4
_chemical_formula_sum 'Ac4 Sb8 Rh16'
_symmetry_space_group_name_H-M 'P n m a'
_symmetry_Int_Tables_number 62
_cell_length_a 17.9280
_cell_length_b 4.3595
_cell_length_c 7.3021
_cell_angle_alpha 90.00
_cell_angle_beta 90.00
_cell_angle_gamma 90.00
loop_
_symmetry_equiv_pos_as_xyz
'x,y,z'
'-x,-y,-z'
'-x+1/2,-y,z+1/2'
'x+1/2,y,-z+1/2'
'x+1/2,-y+1/2,-z+1/2'
'-x+1/2,y+1/2,z+1/2'
'-x,y+1/2,-z'
'x,-y+1/2,z'
loop_
_atom_site_label
_atom_site_fract_x
_atom_site_fract_y
_atom_site_fract_z
Ac1 0.1429 0.2500 0.0128
Sb1 0.0327 0.7500 0.2605
Sb2 0.2024 0.2500 0.5612
Rh1 0.0282 0.7500 0.8843
Rh2 0.0607 0.2500 0.4643
Rh3 0.1754 0.7500 0.3581
Rh4 0.2190 0.7500 0.7571